a.
The following is a DFT calculation (PBE) of a relaxed structure of Zn4Ag2Au.

It has space group Fmmm (No. 69), with a = 5.498 Å, b = 9.263 Å, c = 9.295 Å, α = 90.00°, β = 90.00° and γ = 90.00°. The asymmetric unit holds Zn at (0.000, 0.000, 0.201), Zn at (0.000, 0.203, 0.000), Ag at (0.250, 0.250, 0.250) and Au at (0.000, 0.000, 0.500).


b.
The following is a DFT calculation (PBE) of a relaxed structure of Zn4Ag2Au.

It has space group Cmmm (No. 65), with a = 6.373 Å, b = 8.645 Å, c = 4.400 Å, α = 90.00°, β = 90.00° and γ = 90.00°. The asymmetric unit holds Zn at (0.207, 0.000, 0.000), Zn at (0.250, 0.250, 0.500), Ag at (0.000, 0.270, 0.000) and Au at (0.000, 0.500, 0.500).


Short version: a is the least stable of them.


a.
The following is a DFT calculation (PBE) of a relaxed structure of ZnAg6Au.

It has space group Amm2 (No. 38), with a = 4.726 Å, b = 5.829 Å, c = 10.188 Å, α = 90.00°, β = 90.00° and γ = 90.00°. The asymmetric unit holds Zn at (0.000, 0.000, 0.000), Ag at (0.000, 0.000, 0.498), Ag at (0.000, 0.249, 0.748), Ag at (0.500, 0.000, 0.661), Ag at (0.500, 0.249, 0.911) and Au at (0.500, 0.000, 0.157).


b.
The following is a DFT calculation (PBE) of a relaxed structure of ZnAg6Au.

It has space group P-1 (No. 2), with a = 5.262 Å, b = 5.290 Å, c = 5.321 Å, α = 93.53°, β = 95.00° and γ = 92.64°. The asymmetric unit holds Zn at (0.000, 0.000, 0.000), Ag at (0.035, 0.441, 0.750), Ag at (0.252, 0.963, 0.562), Ag at (0.440, 0.749, 0.037) and Au at (0.500, 0.500, 0.500).


Short version: b is the least stable of them.


a.
The following is a DFT calculation (PBE) of a relaxed structure of ZnAg5Au6.

It has space group P2/m (No. 10), with a = 4.124 Å, b = 8.214 Å, c = 6.544 Å, α = 90.00°, β = 107.09° and γ = 90.00°. The asymmetric unit holds Zn at (0.000, 0.000, 0.000), Ag at (0.000, 0.500, 0.000), Ag at (0.333, 0.000, 0.669), Ag at (0.334, 0.500, 0.668), Au at (0.165, 0.247, 0.330) and Au at (0.500, 0.241, 0.000).


b.
The following is a DFT calculation (PBE) of a relaxed structure of ZnAg5Au6.

It has space group C2/m (No. 12), with a = 9.645 Å, b = 8.878 Å, c = 5.055 Å, α = 90.00°, β = 100.79° and γ = 90.00°. The asymmetric unit holds Zn at (0.000, 0.000, 0.000), Ag at (0.000, 0.166, 0.500), Ag at (0.000, 0.332, 0.000), Ag at (0.000, 0.500, 0.500), Au at (0.246, 0.164, 0.250) and Au at (0.247, 0.000, 0.757).


Short version: b is the least stable of them.


a.
The following is a DFT calculation (PBE) of a relaxed structure of Zn2Ag6Au.

It has space group C2/m (No. 12), with a = 6.661 Å, b = 13.102 Å, c = 3.813 Å, α = 90.00°, β = 105.83° and γ = 90.00°. The asymmetric unit holds Zn at (0.000, 0.154, 0.000), Ag at (0.165, 0.500, 0.827), Ag at (0.171, 0.337, 0.317) and Au at (0.000, 0.000, 0.500).


b.
The following is a DFT calculation (PBE) of a relaxed structure of Zn2Ag6Au.

It has space group C2/m (No. 12), with a = 10.623 Å, b = 2.974 Å, c = 10.325 Å, α = 90.00°, β = 108.35° and γ = 90.00°. The asymmetric unit holds Zn at (0.149, 0.000, 0.207), Ag at (0.020, 0.500, 0.353), Ag at (0.171, 0.000, 0.875), Ag at (0.189, 0.000, 0.587) and Au at (0.000, 0.500, 0.000).


Short version: a is the least stable of them.


a.
The following is a DFT calculation (PBE) of a relaxed structure of Zn3Ag2Au.

It has space group C2/c (No. 15), with a = 5.451 Å, b = 13.708 Å, c = 5.534 Å, α = 90.00°, β = 96.30° and γ = 90.00°. The asymmetric unit holds Zn at (0.000, 0.070, 0.250), Zn at (0.248, 0.403, 0.223), Ag at (0.001, 0.243, 0.499) and Au at (0.000, 0.431, 0.750).


b.
The following is a DFT calculation (PBE) of a relaxed structure of Zn3Ag2Au.

It has space group Fmmm (No. 69), with a = 5.605 Å, b = 8.867 Å, c = 15.893 Å, α = 90.00°, β = 90.00° and γ = 90.00°. The asymmetric unit holds Zn at (0.000, 0.000, 0.170), Zn at (0.000, 0.247, 0.082), Ag at (0.246, 0.000, 0.000), Ag at (0.250, 0.250, 0.250) and Au at (0.000, 0.000, 0.336).


Short version: a is the least stable of them.


a.
The following is a DFT calculation (PBE) of a relaxed structure of ZnAg8Au2.

It has space group C2/m (No. 12), with a = 14.895 Å, b = 4.127 Å, c = 6.520 Å, α = 90.00°, β = 104.88° and γ = 90.00°. The asymmetric unit holds Zn at (0.000, 0.000, 0.000), Ag at (0.045, 0.500, 0.731), Ag at (0.089, 0.000, 0.448), Ag at (0.134, 0.500, 0.178), Ag at (0.180, 0.000, 0.910) and Au at (0.226, 0.500, 0.636).


b.
The following is a DFT calculation (PBE) of a relaxed structure of ZnAg8Au2.

It has space group C2/m (No. 12), with a = 12.416 Å, b = 7.287 Å, c = 4.911 Å, α = 90.00°, β = 103.91° and γ = 90.00°. The asymmetric unit holds Zn at (0.000, 0.000, 0.000), Ag at (0.068, 0.309, 0.796), Ag at (0.147, 0.500, 0.346), Ag at (0.226, 0.000, 0.075) and Au at (0.117, 0.000, 0.507).


Short version: b is the least stable of them.


a.
The following is a DFT calculation (PBE) of a relaxed structure of Zn2AgAu7.

It has space group Cmmm (No. 65), with a = 7.439 Å, b = 13.219 Å, c = 4.467 Å, α = 90.00°, β = 90.00° and γ = 90.00°. The asymmetric unit holds Zn at (0.000, 0.199, 0.000), Ag at (0.000, 0.500, 0.500), Au at (0.000, 0.000, 0.000), Au at (0.000, 0.293, 0.500) and Au at (0.187, 0.389, 0.000).


b.
The following is a DFT calculation (PBE) of a relaxed structure of Zn2AgAu7.

It has space group I4/mmm (No. 139), with a = 4.034 Å, b = 4.034 Å, c = 23.009 Å, α = 90.00°, β = 90.00° and γ = 90.00°. The asymmetric unit holds Zn at (0.000, 0.000, 0.173), Ag at (0.000, 0.000, 0.500), Au at (0.000, 0.000, 0.000), Au at (0.000, 0.500, 0.096) and Au at (0.000, 0.500, 0.250).


Short version: a is the least stable of them.


a.
The following is a DFT calculation (PBE) of a relaxed structure of ZnAg6Au5.

It has space group P-1 (No. 2), with a = 4.055 Å, b = 7.741 Å, c = 7.760 Å, α = 66.20°, β = 75.12° and γ = 75.03°. The asymmetric unit holds Zn at (0.000, 0.000, 0.000), Ag at (0.166, 0.084, 0.584), Ag at (0.166, 0.584, 0.084), Ag at (0.499, 0.250, 0.750), Au at (0.000, 0.500, 0.500), Au at (0.331, 0.670, 0.669) and Au at (0.342, 0.158, 0.158).


b.
The following is a DFT calculation (PBE) of a relaxed structure of ZnAg6Au5.

It has space group C2/m (No. 12), with a = 9.759 Å, b = 8.779 Å, c = 5.029 Å, α = 90.00°, β = 100.50° and γ = 90.00°. The asymmetric unit holds Zn at (0.000, 0.000, 0.000), Ag at (0.249, 0.165, 0.250), Ag at (0.249, 0.500, 0.244), Au at (0.000, 0.162, 0.500), Au at (0.000, 0.327, 0.000) and Au at (0.000, 0.500, 0.500).


Short version: b is the least stable of them.